A plane-wave DFT calculation with GGA-PBE was carried out for a relaxed Pr3Ru5N12 crystal.

The value obtained for the uncorrected formation energy is -209 kJ/mol of formula units. The electronic total energy comes out at -8.1393 eV per atom.

The structure belongs to space group Ia-3d (No. 230); the cell edges are 12.876, 12.876 and 12.876 Å and the angles 90.00°, 90.00° and 90.00°. The inequivalent atoms are Pr at (0.000, 0.250, 0.125), Ru at (0.000, 0.000, 0.000), Ru at (0.000, 0.250, 0.375) and N at (0.034, 0.046, 0.649).